Compound: La3Ni8Ir
Source: Alexandria
Functional: PBE
Structure: optimized geometry

Values from the calculation:
Formation energy ... -0.232 eV/atom

Unit cell a=5.0881 b=5.0881 c=8.8566 alpha=73.31 beta=73.31 gamma=60.00
Atoms (fractional coordinates):
La1 0.3781 0.3781 0.8657
La2 0.9879 0.9879 0.0362
La3 0.5079 0.5079 0.4762
Ni1 0.9394 0.4348 0.1909
Ni2 0.4443 0.9394 0.6769
Ni3 0.4348 0.4348 0.1909
Ni4 0.9394 0.9394 0.6769
Ni5 0.1891 0.1891 0.4326
Ni6 0.6881 0.6881 0.9357
Ni7 0.4348 0.9394 0.1909
Ni8 0.9394 0.4443 0.6769
Ir1 0.8667 0.8667 0.4000